(1)
BeAsW2 | PBE | relaxed

Cell: 6.169 6.169 6.169 Å, 90.00 90.00 90.00°
Space group F-43m (No. 216)
Asymmetric unit:
Be 0.000 0.000 0.000 [4 per cell]
As 0.250 0.250 0.750 [4 per cell]
W 0.000 0.000 0.500 [4 per cell]
W 0.250 0.250 0.250 [4 per cell]

Computed properties:
**E**: -8.051 eV per atom


(2)
BeAsW | PBE | relaxed

Cell: 5.587 5.587 5.587 Å, 90.00 90.00 90.00°
Space group F-43m (No. 216)
Asymmetric unit:
Be 0.000 0.000 0.000 [4 per cell]
As 0.250 0.250 0.750 [4 per cell]
W 0.250 0.250 0.250 [4 per cell]

Computed properties:
**E**: -6.275 eV per atom


(3)
BeZnAs2 | PBE | relaxed

Cell: 6.398 6.398 6.398 Å, 90.00 90.00 90.00°
Space group F-43m (No. 216)
Asymmetric unit:
Be 0.000 0.000 0.000 [4 per cell]
Zn 0.250 0.250 0.250 [4 per cell]
As 0.000 0.000 0.500 [4 per cell]
As 0.250 0.250 0.750 [4 per cell]

Computed properties:
**E**: -3.023 eV per atom


(4)
BeZnAs | PBE | relaxed

Cell: 5.887 5.887 5.887 Å, 90.00 90.00 90.00°
Space group F-43m (No. 216)
Asymmetric unit:
Be 0.000 0.000 0.000 [4 per cell]
Zn 0.000 0.000 0.500 [4 per cell]
As 0.250 0.250 0.250 [4 per cell]

Computed properties:
**E**: -2.870 eV per atom